[1]
## TaNbV2N (GGA-PBE)

Data for crystalline TaNbV2N at its relaxed geometry.

Lattice parameters (Å, degrees): 3.975 3.975 4.394 90.00 90.00 90.00
Fractional positions:
Ta 0.000 0.000 0.000
Nb 0.500 0.500 0.000
V 0.000 0.500 0.500
V 0.500 0.000 0.500
N 0.000 0.000 0.500

The value obtained for the energy above the most stable polymorph in this dataset is 0.000 eV per atom. As for the total magnetization: 0.00 μB/f.u. Its formation energy (no corrections) is -0.452 eV per atom.

=====

[2]
## Ce6Cd2Co (GGA-PBE)

Data for crystalline Ce6Cd2Co at its relaxed geometry.

Lattice parameters (Å, degrees): 6.725 6.725 6.710 116.30 116.30 61.39
Fractional positions:
Ce 0.220 0.739 0.777
Ce 0.240 0.240 0.283
Ce 0.261 0.780 0.223
Ce 0.739 0.220 0.777
Ce 0.760 0.760 0.717
Ce 0.780 0.261 0.223
Cd 0.233 0.233 0.776
Cd 0.767 0.767 0.224
Co 0.500 0.500 0.500

The calculation puts the formation energy at -0.098 eV per atom. As for the total magnetization: 0.00 μB/f.u.